(1)
## LiPr2ZrSe5 (PBE-GGA)

Data for a geometry-optimized LiPr2ZrSe5 structure.

Summary:
Total magnetic moment ... 0.000 μB per atom
Space-group type ... Cmc2_1
Uncorrected formation energy ... -1595.6 meV/atom

Unit cell a=4.073 b=8.935 c=12.232 alpha=90.00 beta=90.00 gamma=103.18
Fractional coordinates of all 18 atoms:
Pr 0.891 0.782 0.190
Pr 0.109 0.218 0.690
Pr 0.130 0.260 0.306
Pr 0.870 0.740 0.806
Zr 0.805 0.610 0.514
Zr 0.195 0.390 0.014
Li 0.555 0.111 0.953
Li 0.445 0.889 0.453
Se 0.504 0.009 0.275
Se 0.496 0.991 0.775
Se 0.691 0.382 0.857
Se 0.284 0.567 0.667
Se 0.051 0.102 0.060
Se 0.644 0.288 0.502
Se 0.716 0.433 0.167
Se 0.309 0.618 0.357
Se 0.949 0.898 0.560
Se 0.356 0.712 0.002



(2)
## LiPr3Si3 (PBE-GGA)

Data for a geometry-optimized LiPr3Si3 structure.

Summary:
Total magnetic moment ... 0.001 μB per atom
Space-group type ... C2/m
Uncorrected formation energy ... -635.7 meV/atom

Unit cell a=4.443 b=5.955 c=13.599 alpha=84.61 beta=80.60 gamma=68.10
Fractional coordinates of all 14 atoms:
Li 0.751 0.094 0.403
Li 0.249 0.906 0.597
Pr 0.542 0.298 0.618
Pr 0.747 0.727 0.779
Pr 0.393 0.289 0.925
Pr 0.253 0.273 0.221
Pr 0.607 0.711 0.075
Pr 0.458 0.702 0.382
Si 0.104 0.868 0.925
Si 0.896 0.132 0.075
Si 0.116 0.318 0.450
Si 0.959 0.858 0.224
Si 0.884 0.682 0.550
Si 0.041 0.142 0.776



(3)
## LiPrSi (PBE-GGA)

Data for a geometry-optimized LiPrSi structure.

Summary:
Total magnetic moment ... 0.000 μB per atom
Space-group type ... P6_3/mmc
Uncorrected formation energy ... -521.9 meV/atom

Unit cell a=4.490 b=4.490 c=7.625 alpha=90.00 beta=90.00 gamma=120.01
Fractional coordinates of all 6 atoms:
Si 0.333 0.167 0.250
Si 0.667 0.833 0.750
Pr 0.000 0.500 0.000
Pr 0.000 0.500 0.500
Li 0.667 0.833 0.250
Li 0.333 0.167 0.750



(4)
## LiPr2Si (PBE-GGA)

Data for a geometry-optimized LiPr2Si structure.

Summary:
Total magnetic moment ... 0.000 μB per atom
Space-group type ... P2_1/m
Uncorrected formation energy ... -346.2 meV/atom

Unit cell a=4.536 b=6.436 c=7.386 alpha=107.64 beta=90.00 gamma=90.00
Fractional coordinates of all 8 atoms:
Pr 0.250 0.856 0.605
Pr 0.750 0.244 0.932
Pr 0.250 0.756 0.068
Pr 0.750 0.144 0.395
Si 0.750 0.634 0.312
Si 0.250 0.366 0.688
Li 0.750 0.594 0.694
Li 0.250 0.406 0.306



(5)
## LiPr2Si2 (PBE-GGA)

Data for a geometry-optimized LiPr2Si2 structure.

Summary:
Total magnetic moment ... 0.000 μB per atom
Space-group type ... Immm
Uncorrected formation energy ... -544.7 meV/atom

Unit cell a=4.452 b=5.762 c=5.762 alpha=65.45 beta=67.27 gamma=67.27
Fractional coordinates of all 5 atoms:
Pr 0.716 0.784 0.284
Pr 0.284 0.216 0.716
Si 0.000 0.194 0.306
Si 0.000 0.806 0.694
Li 0.500 0.500 0.000



(6)
## LiPr2Si (PBE-GGA)

Data for a geometry-optimized LiPr2Si structure.

Summary:
Total magnetic moment ... 0.000 μB per atom
Space-group type ... R-3m
Uncorrected formation energy ... -26.7 meV/atom

Unit cell a=4.055 b=4.055 c=10.812 alpha=79.19 beta=79.19 gamma=60.00
Fractional coordinates of all 4 atoms:
Pr 0.113 0.113 0.661
Pr 0.887 0.887 0.339
Si 0.500 0.500 0.500
Li 0.000 0.000 0.000



(7)
## LiPrSi (PBE-GGA)

Data for a geometry-optimized LiPrSi structure.

Summary:
Total magnetic moment ... 0.000 μB per atom
Space-group type ... F-43m
Uncorrected formation energy ... -392.8 meV/atom

Unit cell a=4.807 b=4.807 c=4.807 alpha=60.00 beta=60.00 gamma=60.00
Fractional coordinates of all 3 atoms:
Pr 0.000 0.000 0.000
Li 0.500 0.500 0.500
Si 0.250 0.250 0.250



(8)
## LiPr2Si (PBE-GGA)

Data for a geometry-optimized LiPr2Si structure.

Summary:
Total magnetic moment ... 0.000 μB per atom
Space-group type ... P4/mmm
Uncorrected formation energy ... -297.2 meV/atom

Unit cell a=4.097 b=4.955 c=4.955 alpha=90.00 beta=90.00 gamma=90.00
Fractional coordinates of all 4 atoms:
Pr 0.000 0.000 0.500
Pr 0.000 0.500 0.000
Si 0.500 0.000 0.000
Li 0.500 0.500 0.500



(9)
## LiPr2Si2 (PBE-GGA)

Data for a geometry-optimized LiPr2Si2 structure.

Summary:
Total magnetic moment ... 0.154 μB per atom
Space-group type ... C2/m
Uncorrected formation energy ... -588.2 meV/atom

Unit cell a=4.429 b=5.949 c=9.682 alpha=87.29 beta=76.78 gamma=68.14
Fractional coordinates of all 10 atoms:
Pr 0.314 0.702 0.669
Pr 0.092 0.716 0.099
Pr 0.686 0.298 0.331
Pr 0.908 0.284 0.901
Si 0.055 0.320 0.571
Si 0.381 0.128 0.110
Si 0.619 0.872 0.890
Si 0.945 0.680 0.429
Li 0.634 0.096 0.636
Li 0.366 0.904 0.364



(10)
## Li6PrSi2 (PBE-GGA)

Data for a geometry-optimized Li6PrSi2 structure.

Summary:
Total magnetic moment ... 0.000 μB per atom
Space-group type ... P4/mmm
Uncorrected formation energy ... -242.2 meV/atom

Unit cell a=4.299 b=4.299 c=9.222 alpha=90.00 beta=90.00 gamma=90.00
Fractional coordinates of all 9 atoms:
Si 0.500 0.500 0.872
Si 0.500 0.500 0.128
Li 0.000 0.500 0.717
Li 0.500 0.000 0.717
Li 0.500 0.500 0.500
Li 0.000 0.000 0.500
Li 0.500 0.000 0.283
Li 0.000 0.500 0.283
Pr 0.000 0.000 0.000



(11)
## Li3PrSi3 (PBE-GGA)

Data for a geometry-optimized Li3PrSi3 structure.

Summary:
Total magnetic moment ... 0.000 μB per atom
Space-group type ... P6_3/m
Uncorrected formation energy ... -410.3 meV/atom

Unit cell a=3.836 b=9.466 c=9.467 alpha=120.00 beta=90.00 gamma=90.00
Fractional coordinates of all 14 atoms:
Si 0.250 0.044 0.588
Si 0.250 0.412 0.456
Si 0.750 0.956 0.412
Si 0.750 0.456 0.044
Si 0.750 0.588 0.544
Si 0.250 0.544 0.956
Li 0.750 0.323 0.232
Li 0.250 0.677 0.768
Li 0.750 0.768 0.090
Li 0.250 0.090 0.323
Li 0.250 0.232 0.910
Li 0.750 0.910 0.677
Pr 0.250 0.667 0.333
Pr 0.750 0.333 0.667



(12)
## Li2Pr3Si3 (PBE-GGA)

Data for a geometry-optimized Li2Pr3Si3 structure.

Summary:
Total magnetic moment ... 0.110 μB per atom
Space-group type ... Cmcm
Uncorrected formation energy ... -544.8 meV/atom

Unit cell a=4.390 b=6.016 c=14.802 alpha=90.00 beta=90.00 gamma=111.40
Fractional coordinates of all 16 atoms:
Pr 0.086 0.173 0.613
Pr 0.370 0.740 0.750
Pr 0.914 0.827 0.387
Pr 0.630 0.260 0.250
Pr 0.914 0.827 0.113
Pr 0.086 0.173 0.887
Li 0.787 0.575 0.580
Li 0.213 0.425 0.080
Li 0.787 0.575 0.920
Li 0.213 0.425 0.420
Si 0.592 0.183 0.456
Si 0.592 0.183 0.044
Si 0.408 0.817 0.956
Si 0.408 0.817 0.544
Si 0.676 0.351 0.750
Si 0.324 0.649 0.250



(13)
## Li4PrSi4 (PBE-GGA)

Data for a geometry-optimized Li4PrSi4 structure.

Summary:
Total magnetic moment ... 0.000 μB per atom
Space-group type ... P4_2/nmc
Uncorrected formation energy ... -238.4 meV/atom

Unit cell a=6.056 b=6.056 c=8.565 alpha=90.00 beta=90.00 gamma=90.00
Fractional coordinates of all 18 atoms:
Si 0.689 0.000 0.305
Si 0.000 0.689 0.695
Si 0.500 0.811 0.805
Si 0.189 0.500 0.195
Si 0.811 0.500 0.195
Si 0.500 0.189 0.805
Si 0.000 0.311 0.695
Si 0.311 0.000 0.305
Li 0.000 0.251 0.398
Li 0.251 0.000 0.602
Li 0.249 0.500 0.898
Li 0.000 0.749 0.398
Li 0.751 0.500 0.898
Li 0.500 0.249 0.102
Li 0.500 0.751 0.102
Li 0.749 0.000 0.602
Pr 0.000 0.000 0.000
Pr 0.500 0.500 0.500



(14)
## LiPrSi (PBE-GGA)

Data for a geometry-optimized LiPrSi structure.

Summary:
Total magnetic moment ... 0.000 μB per atom
Space-group type ... Pmma
Uncorrected formation energy ... -403.6 meV/atom

Unit cell a=4.320 b=3.970 c=8.253 alpha=90.01 beta=89.98 gamma=90.00
Fractional coordinates of all 6 atoms:
Li 0.812 0.716 0.499
Li 0.811 0.216 0.295
Si 0.812 0.716 0.812
Si 0.812 0.216 0.981
Pr 0.312 0.216 0.694
Pr 0.312 0.716 0.099



(15)
## LiPrSi (PBE-GGA)

Data for a geometry-optimized LiPrSi structure.

Summary:
Total magnetic moment ... 0.000 μB per atom
Space-group type ... I4mm
Uncorrected formation energy ... -166.8 meV/atom

Unit cell a=4.098 b=4.098 c=5.057 alpha=113.91 beta=113.91 gamma=90.00
Fractional coordinates of all 3 atoms:
Si 0.601 0.601 0.201
Li 0.290 0.290 0.580
Pr 0.960 0.960 0.919



(16)
## Li2PrSi2 (PBE-GGA)

Data for a geometry-optimized Li2PrSi2 structure.

Summary:
Total magnetic moment ... 0.000 μB per atom
Space-group type ... I4/mmm
Uncorrected formation energy ... -475.5 meV/atom

Unit cell a=4.165 b=4.165 c=6.292 alpha=109.33 beta=109.33 gamma=90.00
Fractional coordinates of all 5 atoms:
Pr 0.000 0.000 0.000
Si 0.394 0.394 0.789
Si 0.606 0.606 0.211
Li 0.250 0.750 0.500
Li 0.750 0.250 0.500



(17)
## Li2Pr2SmSi2 (PBE-GGA)

Data for a geometry-optimized Li2Pr2SmSi2 structure.

Summary:
Total magnetic moment ... 0.000 μB per atom
Space-group type ... R-3m
Uncorrected formation energy ... -384.3 meV/atom

Unit cell a=4.482 b=4.482 c=9.870 alpha=76.87 beta=76.87 gamma=60.00
Fractional coordinates of all 7 atoms:
Li 0.608 0.608 0.177
Li 0.392 0.392 0.823
Pr 0.124 0.124 0.627
Pr 0.876 0.876 0.373
Sm 0.000 0.000 0.000
Si 0.269 0.269 0.193
Si 0.731 0.731 0.807



(18)
## Li2PrSmSi2 (PBE-GGA)

Data for a geometry-optimized Li2PrSmSi2 structure.

Summary:
Total magnetic moment ... 0.000 μB per atom
Space-group type ... P-3m1
Uncorrected formation energy ... -536.4 meV/atom

Unit cell a=4.464 b=4.464 c=7.494 alpha=90.00 beta=90.00 gamma=120.00
Fractional coordinates of all 6 atoms:
Sm 0.000 0.000 0.500
Li 0.667 0.333 0.268
Li 0.333 0.667 0.732
Pr 0.000 0.000 0.000
Si 0.333 0.667 0.258
Si 0.667 0.333 0.742



(19)
## LiPrSmSi (PBE-GGA)

Data for a geometry-optimized LiPrSmSi structure.

Summary:
Total magnetic moment ... 0.000 μB per atom
Space-group type ... F-43m
Uncorrected formation energy ... -342.1 meV/atom

Unit cell a=5.143 b=5.143 c=5.143 alpha=60.00 beta=60.00 gamma=60.00
Fractional coordinates of all 4 atoms:
Li 0.250 0.250 0.250
Pr 0.000 0.000 0.000
Si 0.750 0.750 0.750
Sm 0.500 0.500 0.500



(20)
## SrLiPrSi (PBE-GGA)

Data for a geometry-optimized SrLiPrSi structure.

Summary:
Total magnetic moment ... 0.000 μB per atom
Space-group type ... F-43m
Uncorrected formation energy ... -212.8 meV/atom

Unit cell a=5.321 b=5.321 c=5.321 alpha=60.00 beta=60.00 gamma=60.00
Fractional coordinates of all 4 atoms:
Pr 0.000 0.000 0.000
Sr 0.500 0.500 0.500
Li 0.750 0.750 0.750
Si 0.250 0.250 0.250